First-principles (PBE+U) data for a geometry-optimized PmMoSO2 structure, as listed in Alexandria via LeMat-Bulk.

Cell lengths 4.1252, 4.1254, 5.3820 Å; angles 90.00, 90.00, 90.00 degrees
Closest atoms and distances in Å follow each position.
Fractional coordinates of all 5 atoms:
Pm (0.5000, 0.5000, 0.6871)  4 O 2.41
Mo (0.0000, 0.0000, 0.0033)  4 O 2.11
S (0.0000, 0.0000, 0.4704)  1 Mo 2.51
O (0.0000, 0.5000, 0.9196)  2 Mo 2.11
O (0.5000, 0.0000, 0.9196)  2 Mo 2.11

Properties
energy	-7.2011	eV per atom